Density functional theory data (PBE) for a relaxed structure of La2Tb2Tl7.

The structure in CIF format:
```
data_La2Tb2Tl7
_space_group_name_H-M_alt 'C 1 2/m 1'
_space_group_IT_number 12
_space_group_name_Hall '-C 2y'
_cell_length_a 11.880
_cell_length_b 11.340
_cell_length_c 5.128
_cell_angle_alpha 90.00
_cell_angle_beta 100.75
_cell_angle_gamma 90.00
loop_
_atom_site_label
_atom_site_type_symbol
_atom_site_fract_x
_atom_site_fract_y
_atom_site_fract_z
_atom_site_occupancy
La1 La 0.000 0.216 0.000 1
Tb1 Tb 0.241 0.500 0.800 1
Tl1 Tl 0.000 0.000 0.500 1
Tl2 Tl 0.067 0.500 0.271 1
Tl3 Tl 0.217 0.177 0.710 1
```

Computed properties:
DFT total energy = -75.54 eV/cell
E_form = -0.190 eV/atom
M_tot = 0.000 μB per atom